A plane-wave DFT calculation with PBE was carried out for a relaxed Be2CuTc2 crystal.

abc: 6.5755 6.5755 2.9154
angles: 90.00 90.00 90.00
Element x y z (fractional)
Be 0.1740 0.3260 0.0000
Be 0.3260 0.8260 0.0000
Be 0.6740 0.1740 0.0000
Be 0.8260 0.6740 0.0000
Cu 0.0000 0.0000 0.5000
Cu 0.5000 0.5000 0.5000
Tc 0.1231 0.6231 0.5000
Tc 0.3769 0.1231 0.5000
Tc 0.6231 0.8769 0.5000
Tc 0.8769 0.3769 0.5000

## Properties
For the energy of formation from the pure elements, the calculation gives 287 meV per atom. The value obtained for the energy relative to the lowest polymorph listed for this composition is 1.94 eV/f.u.